Ac7In2N | PBE-GGA | optimized geometry

Unit cell a=8.111 b=8.111 c=8.111 alpha=60.00 beta=60.00 gamma=60.00
Sites, in units of the cell vectors:
Ac 0.000 0.000 0.000
Ac 0.273 0.273 0.727
Ac 0.273 0.727 0.273
Ac 0.273 0.727 0.727
Ac 0.727 0.273 0.273
Ac 0.727 0.273 0.727
Ac 0.727 0.727 0.273
In 0.250 0.250 0.250
In 0.750 0.750 0.750
N 0.500 0.500 0.500

Summary:
mass density	8.065	g/cm3
symmetry	Fm-3m (225)
formation energy (no corrections)	131	meV per atom
energy	-4.13	eV per atom